[1]
CsNaAl2Cu | PBE-GGA | relaxed

- V: 247 Å³/cell
- DFT formation energy: 1655 meV per atom
- Fermi-level density of states: 4.679 states/eV/cell
- Crystal system: tetragonal

a b c (Å): 6.3203 6.3203 6.1849
angles (deg): 90.00 90.00 90.00
Element x y z (fractional)
Cs (0.0000, 0.0000, 0.0000)
Na (0.0000, 0.0000, 0.5000)
Al (0.0000, 0.5000, 0.0000)
Al (0.5000, 0.0000, 0.0000)
Cu (0.5000, 0.5000, 0.5000)

[2]
SrPb | PBE-GGA | relaxed

- V: 82 Å³/cell
- DFT formation energy: -139 meV per atom
- Fermi-level density of states: 3.540 states/eV/cell
- Crystal system: cubic

a b c (Å): 4.8713 4.8713 4.8713
angles (deg): 60.00 60.00 60.00
Element x y z (fractional)
Sr (0.0000, 0.0000, 0.0000)
Pb (0.5000, 0.5000, 0.5000)

[3]
Pa2TeAs | PBE-GGA | relaxed

- E above lowest polymorph: 172 meV per atom
- V: 96 Å³/cell
- Fermi-level density of states: 8.583 states/eV/cell
- Crystal system: cubic
- E_form (uncorrected): -0.677 eV/atom

a b c (Å): 5.1311 5.1311 5.1311
angles (deg): 60.00 60.00 60.00
Element x y z (fractional)
Pa (0.2500, 0.2500, 0.2500)
Pa (0.7500, 0.7500, 0.7500)
Te (0.0000, 0.0000, 0.0000)
As (0.5000, 0.5000, 0.5000)

[4]
Mo2PbI | PBE-GGA | relaxed

- E above lowest polymorph: 471 meV per atom
- V: 183 Å³/cell
- Fermi-level density of states: 17.389 states/eV/cell
- Crystal system: tetragonal
- E_form (uncorrected): 1.503 eV/atom

a b c (Å): 6.2673 6.2673 6.2673
angles (deg): 103.63 103.63 121.92
Element x y z (fractional)
Mo (0.0784, 0.6250, 0.9534)
Mo (0.3750, 0.3284, 0.4534)
Mo (0.6716, 0.1250, 0.0466)
Mo (0.8750, 0.9216, 0.5466)
Pb (0.2500, 0.7500, 0.5000)
Pb (0.5000, 0.5000, 0.0000)
I (0.0000, 0.0000, 0.0000)
I (0.7500, 0.2500, 0.5000)

[5]
BaHfGeO5 | PBE-GGA | relaxed

- V: 244 Å³/cell
- Fermi-level density of states: 0.000 states/eV/cell
- Crystal system: monoclinic
- E_form (uncorrected): -2.754 eV/atom

a b c (Å): 6.0183 6.0183 7.6913
angles (deg): 104.10 104.10 106.20
Element x y z (fractional)
Ba (0.1694, 0.8306, 0.7500)
Ba (0.8306, 0.1694, 0.2500)
Hf (0.5000, 0.5000, 0.0000)
Hf (0.5000, 0.5000, 0.5000)
Ge (0.1872, 0.8128, 0.2500)
Ge (0.8128, 0.1872, 0.7500)
O (0.1199, 0.2672, 0.9034)
O (0.2052, 0.6174, 0.3913)
O (0.2672, 0.1199, 0.4034)
O (0.3826, 0.7948, 0.1087)
O (0.4381, 0.5619, 0.7500)
O (0.5619, 0.4381, 0.2500)
O (0.6174, 0.2052, 0.8913)
O (0.7328, 0.8801, 0.5966)
O (0.7948, 0.3826, 0.6087)
O (0.8801, 0.7328, 0.0966)

[6]
ErHfCoAg | PBE-GGA | relaxed

- V: 77 Å³/cell
- DFT formation energy: -96 meV per atom
- Fermi-level density of states: 2.901 states/eV/cell
- Crystal system: cubic

a b c (Å): 4.7726 4.7726 4.7726
angles (deg): 60.00 60.00 60.00
Element x y z (fractional)
Er (0.0000, 0.0000, 0.0000)
Hf (0.5000, 0.5000, 0.5000)
Co (0.7500, 0.7500, 0.7500)
Ag (0.2500, 0.2500, 0.2500)

[7]
RbPbN2F | PBE-GGA | relaxed

- E above lowest polymorph: 952 meV per atom
- V: 143 Å³/cell
- Fermi-level density of states: 2.623 states/eV/cell
- Crystal system: tetragonal
- E_form (uncorrected): 1.259 eV/atom

a b c (Å): 5.3027 5.3027 5.0696
angles (deg): 90.00 90.00 90.00
Element x y z (fractional)
Rb (0.0000, 0.0000, 0.0000)
Pb (0.5000, 0.5000, 0.5000)
N (0.0000, 0.5000, 0.0000)
N (0.5000, 0.0000, 0.0000)
F (0.0000, 0.0000, 0.5000)

[8]
BaCdIr | PBE-GGA | relaxed

- V: 89 Å³/cell
- DFT formation energy: 162 meV per atom
- Fermi-level density of states: 4.283 states/eV/cell
- Crystal system: cubic

a b c (Å): 5.0086 5.0086 5.0086
angles (deg): 60.00 60.00 60.00
Element x y z (fractional)
Ba (0.0000, 0.0000, 0.0000)
Cd (0.5000, 0.5000, 0.5000)
Ir (0.7500, 0.7500, 0.7500)